Entry 1:
# InPd4Au2

Crystalline InPd4Au2 at its relaxed geometry (PBE-GGA, the Alexandria database).

Cell: 5.5464 6.8722 7.5227 Å, 104.30 112.47 105.51°
Closest atoms and distances in Å follow each position.
Sites, in units of the cell vectors:
In (0.3529, 0.6577, 0.4759)  8 Pd 2.79-2.94, 4 Au 2.90-3.03
In (0.0922, 0.8860, 0.0198)  9 Pd 2.81-2.91, 3 Au 2.89-3.01
Pd (0.9399, 0.2255, 0.1924)  6 Pd 2.83-2.92, 4 Au 2.85-2.90, 2 In 2.85-2.87
Pd (0.2229, 0.5115, 0.0529)  2 In 2.82-2.90, 4 Au 2.82-2.90, 6 Pd 2.84-2.93
Pd (0.9531, 0.7435, 0.5959)  3 In 2.81-2.94, 5 Pd 2.83-2.91, 4 Au 2.84-2.93
Pd (0.7932, 0.0757, 0.7649)  7 Pd 2.83-2.91, 2 In 2.84, 3 Au 2.85-2.87
Pd (0.2479, 0.0263, 0.4478)  2 In 2.79-2.82, 5 Au 2.83-2.92, 5 Pd 2.87-2.92
Pd (0.3826, 0.1657, 0.8795)  3 Au 2.80-2.88, 8 Pd 2.83-2.93, 1 In 2.84
Pd (0.5058, 0.7938, 0.9038)  3 In 2.82-2.91, 6 Pd 2.83-2.91, 3 Au 2.83-2.92
Pd (0.8108, 0.5978, 0.1614)  3 Au 2.79-2.85, 2 In 2.86-2.87, 7 Pd 2.86-2.90
Au (0.6687, 0.4477, 0.7397)  7 Pd 2.79-2.92, 3 Au 2.87-2.90, 2 In 2.89-3.03
Au (0.6644, 0.9364, 0.3346)  8 Pd 2.83-2.91, 2 Au 2.85-2.95, 2 In 2.90-3.01
Au (0.5318, 0.3190, 0.3043)  7 Pd 2.80-2.90, 2 In 2.89-2.97, 3 Au 2.90-2.97
Au (0.0836, 0.3635, 0.6271)  7 Pd 2.82-2.93, 4 Au 2.85-2.97, 1 In 2.90

Output
For the total energy, the calculation gives -4.55 eV/atom. The value obtained for the polymorph energy (0 for the lowest one) is 0.000 eV/atom. The calculation puts the formation energy from the elements at -24.67 kJ per mole of atoms. The total magnetization comes out at 0.0 μB per formula unit. The density of states at the Fermi level comes out at 0.35 states/eV/atom. The volume is 234.88 Å³/cell.

Entry 2:
# InPd2Au2

Crystalline InPd2Au2 at its relaxed geometry (PBE-GGA, the Alexandria database).

Cell: 4.6676 5.8749 7.5707 Å, 112.83 107.95 90.00°
Closest atoms and distances in Å follow each position.
Sites, in units of the cell vectors:
In (0.3712, 0.1212, 0.2424)  6 Pd 2.85, 4 Au 2.89-2.94
In (0.6288, 0.8788, 0.7576)  6 Pd 2.85, 4 Au 2.89-2.94
Pd (0.8148, 0.3138, 0.1295)  5 Au 2.84-2.89, 3 In 2.85, 4 Pd 2.89-2.95
Pd (0.8148, 0.8157, 0.1295)  5 Au 2.84-2.89, 3 In 2.85, 4 Pd 2.89-2.95
Pd (0.1852, 0.1843, 0.8705)  5 Au 2.84-2.89, 3 In 2.85, 4 Pd 2.89-2.95
Pd (0.1852, 0.6862, 0.8705)  5 Au 2.84-2.89, 3 In 2.85, 4 Pd 2.89-2.95
Au (0.6260, 0.3760, 0.7520)  2 Au 2.86, 6 Pd 2.87-2.89, 2 In 2.94
Au (0.9992, 0.7492, 0.4985)  4 Pd 2.84-2.85, 4 Au 2.86-2.94, 2 In 2.89
Au (0.0008, 0.2508, 0.5015)  4 Pd 2.84-2.85, 4 Au 2.86-2.94, 2 In 2.89
Au (0.3740, 0.6240, 0.2480)  2 Au 2.86, 6 Pd 2.87-2.89, 2 In 2.94

Output
For the total energy, the calculation gives -4.21 eV/atom. The value obtained for the polymorph energy (0 for the lowest one) is 0.007 eV/atom. The calculation puts the formation energy from the elements at -26.23 kJ per mole of atoms. The total magnetization comes out at 0.0 μB per formula unit. The density of states at the Fermi level comes out at 0.37 states/eV/atom. The volume is 180.32 Å³/cell.

Entry 3:
# InPd2Au

Crystalline InPd2Au at its relaxed geometry (PBE-GGA, the Alexandria database).

Cell: 3.3959 3.3959 5.9868 Å, 90.00 90.00 90.00°
Closest atoms and distances in Å follow each position.
Sites, in units of the cell vectors:
Au (0.5000, 0.5000, 0.5000)  8 Pd 2.84, 2 In 2.99
Pd (0.0000, 0.0000, 0.7543)  4 In 2.82, 4 Au 2.84, 2 Pd 2.94-3.05
Pd (0.0000, 0.0000, 0.2457)  4 In 2.82, 4 Au 2.84, 2 Pd 2.94-3.05
In (0.5000, 0.5000, 0.0000)  8 Pd 2.82, 2 Au 2.99

Output
For the total energy, the calculation gives -4.46 eV/atom. The calculation puts the formation energy from the elements at -34.97 kJ per mole of atoms. The total magnetization comes out at 0.0 μB per formula unit. The density of states at the Fermi level comes out at 0.55 states/eV/atom. The volume is 69.04 Å³/cell.

Entry 4:
# InPd6Au2

Crystalline InPd6Au2 at its relaxed geometry (PBE-GGA, the Alexandria database).

Cell: 4.1435 4.8597 8.4187 Å, 103.88 90.00 115.23°
Closest atoms and distances in Å follow each position.
Sites, in units of the cell vectors:
In (0.0000, 0.0000, 0.5000)  8 Pd 2.81-2.87, 4 Au 2.98
Pd (0.3370, 0.6740, 0.9442)  9 Pd 2.77-2.88, 3 Au 2.77-2.86
Pd (0.6630, 0.3260, 0.0558)  9 Pd 2.77-2.88, 3 Au 2.77-2.86
Pd (0.9940, 0.9879, 0.1644)  3 Au 2.80-2.83, 8 Pd 2.80-2.93, 1 In 2.81
Pd (0.6616, 0.3232, 0.3890)  3 In 2.81-2.87, 5 Pd 2.81-2.94, 4 Au 2.84-2.87
Pd (0.0060, 0.0121, 0.8356)  3 Au 2.80-2.83, 8 Pd 2.80-2.93, 1 In 2.81
Pd (0.3384, 0.6768, 0.6110)  3 In 2.81-2.87, 5 Pd 2.81-2.94, 4 Au 2.84-2.87
Au (0.6764, 0.3527, 0.7307)  10 Pd 2.77-2.87, 2 In 2.98
Au (0.3236, 0.6473, 0.2693)  10 Pd 2.77-2.87, 2 In 2.98

Output
For the total energy, the calculation gives -4.72 eV/atom. The calculation puts the formation energy from the elements at -21.77 kJ per mole of atoms. The total magnetization comes out at 0.0 μB per formula unit. The density of states at the Fermi level comes out at 0.78 states/eV/atom. The volume is 147.86 Å³/cell.

Entry 5:
# InPd2Au2

Crystalline InPd2Au2 at its relaxed geometry (PBE-GGA, the Alexandria database).

Cell: 3.8306 3.8306 7.2353 Å, 74.65 74.65 90.00°
Closest atoms and distances in Å follow each position.
Sites, in units of the cell vectors:
Au (0.3988, 0.3988, 0.2024)  1 Au 2.72, 4 Pd 2.77, 4 In 3.03
Au (0.6012, 0.6012, 0.7976)  1 Au 2.72, 4 Pd 2.77, 4 In 3.03
Pd (0.7500, 0.2500, 0.5000)  4 Pd 2.71, 4 Au 2.77
Pd (0.2500, 0.7500, 0.5000)  4 Pd 2.71, 4 Au 2.77
In (0.0000, 0.0000, 0.0000)  8 Au 3.03

Output
For the total energy, the calculation gives -3.91 eV/atom. The value obtained for the polymorph energy (0 for the lowest one) is 0.303 eV/atom. The calculation puts the formation energy from the elements at 2.32 kJ per mole of atoms. The total magnetization comes out at 0.0 μB per formula unit. The density of states at the Fermi level comes out at 0.55 states/eV/atom. The volume is 98.44 Å³/cell.

Entry 6:
# In2PdAu2

Crystalline In2PdAu2 at its relaxed geometry (PBE-GGA, the Alexandria database).

Cell: 4.5944 4.5944 11.2593 Å, 90.00 90.00 120.00°
Closest atoms and distances in Å follow each position.
Sites, in units of the cell vectors:
In (0.3333, 0.6667, 0.6087)  6 Au 2.92-3.09, 3 Pd 3.09, 1 In 3.18
In (0.6667, 0.3333, 0.1087)  6 Au 2.92-3.09, 3 Pd 3.09, 1 In 3.18
In (0.6667, 0.3333, 0.3913)  6 Au 2.92-3.09, 3 Pd 3.09, 1 In 3.18
In (0.3333, 0.6667, 0.8913)  6 Au 2.92-3.09, 3 Pd 3.09, 1 In 3.18
Pd (0.0000, 0.0000, 0.2500)  5 Au 2.65-2.81
Pd (0.0000, 0.0000, 0.7500)  5 Au 2.65-2.81
Au (0.6667, 0.3333, 0.7500)  3 Pd 2.65
Au (0.0000, 0.0000, 0.0000)  2 Pd 2.81, 6 In 2.92
Au (0.0000, 0.0000, 0.5000)  2 Pd 2.81, 6 In 2.92
Au (0.3333, 0.6667, 0.2500)  3 Pd 2.65

Output
For the total energy, the calculation gives -3.63 eV/atom. The value obtained for the polymorph energy (0 for the lowest one) is 0.047 eV/atom. The calculation puts the formation energy from the elements at -17.59 kJ per mole of atoms. The total magnetization comes out at 0.0 μB per formula unit. The density of states at the Fermi level comes out at 0.61 states/eV/atom. The volume is 205.82 Å³/cell.

Entry 7:
# In2PdAu8

Crystalline In2PdAu8 at its relaxed geometry (PBE-GGA, the Alexandria database).

Cell: 4.2544 6.6832 7.8140 Å, 72.83 74.56 89.87°
Closest atoms and distances in Å follow each position.
Sites, in units of the cell vectors:
In (0.2793, 0.3439, 0.4113)  10 Au 2.86-3.12
In (0.7198, 0.6566, 0.5281)  10 Au 2.86-3.12
Pd (0.9995, 0.0003, 0.9697)  12 Au 2.86-2.99
Au (0.9101, 0.5520, 0.1516)  1 Pd 2.89, 8 Au 2.90-3.11, 3 In 2.92-3.12
Au (0.1708, 0.9078, 0.6227)  3 In 2.86-2.94, 1 Pd 2.86, 8 Au 2.91-3.13
Au (0.3621, 0.8116, 0.2487)  7 Au 2.90-3.07, 3 In 2.93-2.99, 2 Pd 2.98-2.99
Au (0.4610, 0.2662, 0.0487)  9 Au 2.90-3.11, 1 In 2.93, 2 Pd 2.94-2.95
Au (0.6369, 0.1889, 0.6907)  7 Au 2.90-3.07, 3 In 2.93-2.99, 2 Pd 2.98-2.99
Au (0.8282, 0.0928, 0.3168)  3 In 2.86-2.94, 1 Pd 2.86, 8 Au 2.91-3.13
Au (0.0890, 0.4485, 0.7878)  1 Pd 2.89, 8 Au 2.90-3.11, 3 In 2.92-3.12
Au (0.5380, 0.7343, 0.8907)  9 Au 2.90-3.11, 1 In 2.93, 2 Pd 2.94-2.95

Output
For the total energy, the calculation gives -3.44 eV/atom. The value obtained for the polymorph energy (0 for the lowest one) is 0.000 eV/atom. The calculation puts the formation energy from the elements at -8.58 kJ per mole of atoms. The total magnetization comes out at 0.0 μB per formula unit. The density of states at the Fermi level comes out at 0.35 states/eV/atom. The volume is 203.91 Å³/cell.

Entry 8:
# In4PdAu5

Crystalline In4PdAu5 at its relaxed geometry (PBE-GGA, the Alexandria database).

Cell: 4.5403 7.2945 7.2945 Å, 69.46 71.87 71.87°
Closest atoms and distances in Å follow each position.
Sites, in units of the cell vectors:
In (0.2500, 0.3121, 0.6879)  1 Pd 2.59, 2 Au 2.76
In (0.0022, 0.2478, 0.2478)  1 Pd 2.75, 7 Au 2.80-2.96
In (0.4978, 0.7522, 0.7522)  1 Pd 2.75, 7 Au 2.80-2.96
In (0.2500, 0.6879, 0.3121)  1 Pd 2.59, 2 Au 2.76
Pd (0.2500, 0.0000, 0.0000)  4 In 2.59-2.75
Au (0.6059, 0.3182, 0.9701)  3 Au 2.89-3.20, 5 In 2.93-3.00, 2 Pd 3.13
Au (0.8941, 0.0299, 0.6818)  3 Au 2.89-3.20, 5 In 2.93-3.00, 2 Pd 3.13
Au (0.7500, 0.5000, 0.5000)  6 In 2.76-2.80
Au (0.6059, 0.9701, 0.3182)  3 Au 2.89-3.20, 5 In 2.93-3.00, 2 Pd 3.13
Au (0.8941, 0.6818, 0.0299)  3 Au 2.89-3.20, 5 In 2.93-3.00, 2 Pd 3.13

Output
For the total energy, the calculation gives -3.41 eV/atom. The calculation puts the formation energy from the elements at -15.24 kJ per mole of atoms. The total magnetization comes out at 0.0 μB per formula unit. The density of states at the Fermi level comes out at 0.35 states/eV/atom. The volume is 209.38 Å³/cell.

Entry 9:
# In6PdAu12

Crystalline In6PdAu12 at its relaxed geometry (PBE-GGA, the Alexandria database).

Cell: 7.2248 7.2248 7.2248 Å, 91.33 91.33 91.33°
Closest atoms and distances in Å follow each position.
Sites, in units of the cell vectors:
In (0.7066, 0.8799, 0.2567)  7 Au 2.80-3.00, 1 Pd 2.98
In (0.7433, 0.2934, 0.1201)  7 Au 2.80-3.00, 1 Pd 2.98
In (0.1201, 0.7433, 0.2934)  7 Au 2.80-3.00, 1 Pd 2.98
In (0.2934, 0.1201, 0.7433)  7 Au 2.80-3.00, 1 Pd 2.98
In (0.2567, 0.7066, 0.8799)  7 Au 2.80-3.00, 1 Pd 2.98
In (0.8799, 0.2567, 0.7066)  7 Au 2.80-3.00, 1 Pd 2.98
Pd (0.0000, 0.0000, 0.0000)  6 Au 2.95, 6 In 2.98
Au (0.7965, 0.5346, 0.4449)  4 Au 2.83-3.08, 4 In 2.85-3.00
Au (0.4449, 0.7965, 0.5346)  4 Au 2.83-3.08, 4 In 2.85-3.00
Au (0.5346, 0.4449, 0.7965)  4 Au 2.83-3.08, 4 In 2.85-3.00
Au (0.2035, 0.4654, 0.5551)  4 Au 2.83-3.08, 4 In 2.85-3.00
Au (0.5551, 0.2035, 0.4654)  4 Au 2.83-3.08, 4 In 2.85-3.00
Au (0.4654, 0.5551, 0.2035)  4 Au 2.83-3.08, 4 In 2.85-3.00
Au (0.0984, 0.1214, 0.3839)  3 In 2.80-3.00, 4 Au 2.83-2.84, 1 Pd 2.95
Au (0.8786, 0.6161, 0.9016)  3 In 2.80-3.00, 4 Au 2.83-2.84, 1 Pd 2.95
Au (0.6161, 0.9016, 0.8786)  3 In 2.80-3.00, 4 Au 2.83-2.84, 1 Pd 2.95
Au (0.9016, 0.8786, 0.6161)  3 In 2.80-3.00, 4 Au 2.83-2.84, 1 Pd 2.95
Au (0.1214, 0.3839, 0.0984)  3 In 2.80-3.00, 4 Au 2.83-2.84, 1 Pd 2.95
Au (0.3839, 0.0984, 0.1214)  3 In 2.80-3.00, 4 Au 2.83-2.84, 1 Pd 2.95

Output
For the total energy, the calculation gives -3.33 eV/atom. The calculation puts the formation energy from the elements at -11.55 kJ per mole of atoms. The total magnetization comes out at 0.0 μB per formula unit. The density of states at the Fermi level comes out at 0.37 states/eV/atom. The volume is 376.80 Å³/cell.

Entry 10:
# In5Pd12Au2

Crystalline In5Pd12Au2 at its relaxed geometry (PBE-GGA, the Alexandria database).

Cell: 5.5415 8.1882 8.8587 Å, 105.26 90.00 109.78°
Closest atoms and distances in Å follow each position.
Sites, in units of the cell vectors:
In (0.3107, 0.6215, 0.6358)  7 Pd 2.65-2.73
In (0.3637, 0.7273, 0.1383)  7 Pd 2.60-2.81
In (0.0000, 0.0000, 0.5000)  6 Pd 2.68-2.71
In (0.6363, 0.2727, 0.8617)  7 Pd 2.60-2.81
In (0.6893, 0.3785, 0.3642)  7 Pd 2.65-2.73
Pd (0.1029, 0.2058, 0.2965)  1 In 2.71, 4 Pd 2.80-2.97, 2 Au 2.99
Pd (0.0387, 0.6009, 0.8844)  3 In 2.62-2.81, 5 Pd 2.64-2.90
Pd (0.5622, 0.6009, 0.8844)  3 In 2.62-2.81, 5 Pd 2.64-2.90
Pd (0.0958, 0.6914, 0.3954)  4 In 2.68-2.74, 5 Pd 2.77-2.97
Pd (0.5956, 0.6914, 0.3954)  4 In 2.68-2.74, 5 Pd 2.77-2.97
Pd (0.4837, 0.9674, 0.6419)  2 In 2.60-2.65, 1 Pd 2.70
Pd (0.5163, 0.0326, 0.3581)  2 In 2.60-2.65, 1 Pd 2.70
Pd (0.9042, 0.3086, 0.6046)  4 In 2.68-2.74, 5 Pd 2.77-2.97
Pd (0.4044, 0.3086, 0.6046)  4 In 2.68-2.74, 5 Pd 2.77-2.97
Pd (0.9613, 0.3991, 0.1156)  3 In 2.62-2.81, 5 Pd 2.64-2.90
Pd (0.4378, 0.3991, 0.1156)  3 In 2.62-2.81, 5 Pd 2.64-2.90
Pd (0.8971, 0.7942, 0.7035)  1 In 2.71, 4 Pd 2.80-2.97, 2 Au 2.99
Au (0.7522, 0.0000, 0.0000)  2 Au 2.75-2.80, 4 Pd 2.96-2.99, 2 In 3.05
Au (0.2478, 0.0000, 0.0000)  2 Au 2.75-2.80, 4 Pd 2.96-2.99, 2 In 3.05

Output
For the total energy, the calculation gives -4.55 eV/atom. The calculation puts the formation energy from the elements at -19.32 kJ per mole of atoms. The total magnetization comes out at 0.0 μB per formula unit. The density of states at the Fermi level comes out at 0.45 states/eV/atom. The volume is 363.16 Å³/cell.